(1)
Density functional theory data (GGA-PBE) for a relaxed structure of Dy2YAl.

a b c (Å): 3.523 3.523 9.027
angles (deg): 90.00 90.00 90.00
Element x y z (fractional)
Y 0.500 0.500 0.500
Al 0.500 0.500 0.000
Dy 0.000 0.000 0.788
Dy 0.000 0.000 0.212

Results
ρ = 6.54 g cm⁻³
Fermi-level density of states = 1.11 states/eV/atom
space-group type = P4/mmm, No. 123
E above lowest polymorph = 14 meV/atom
calculated volume = 112.02 Å³/f.u.
energy relative to the elements = -0.1853 eV per atom

***

(2)
Density functional theory data (GGA-PBE) for a relaxed structure of Dy12YAl3.

a b c (Å): 4.794 4.794 19.540
angles (deg): 90.00 90.00 90.00
Element x y z (fractional)
Dy 0.500 0.500 0.000
Dy 0.500 0.500 0.257
Dy 0.500 0.500 0.500
Dy 0.500 0.500 0.743
Dy 0.500 0.000 0.135
Dy 0.500 0.000 0.378
Dy 0.500 0.000 0.622
Dy 0.500 0.000 0.865
Dy 0.000 0.500 0.135
Dy 0.000 0.500 0.378
Dy 0.000 0.500 0.622
Dy 0.000 0.500 0.865
Y 0.000 0.000 0.000
Al 0.000 0.000 0.258
Al 0.000 0.000 0.500
Al 0.000 0.000 0.742

Results
ρ = 7.84 g cm⁻³
Fermi-level density of states = 1.14 states/eV/atom
space-group type = P4/mmm, No. 123
calculated volume = 449.05 Å³/f.u.
energy relative to the elements = -0.1260 eV per atom

***

(3)
Density functional theory data (GGA-PBE) for a relaxed structure of Dy4YAl.

a b c (Å): 3.528 3.528 14.037
angles (deg): 90.00 90.00 90.00
Element x y z (fractional)
Dy 0.500 0.500 0.181
Dy 0.000 0.000 0.636
Dy 0.000 0.000 0.364
Dy 0.500 0.500 0.819
Y 0.000 0.000 0.000
Al 0.500 0.500 0.500

Results
ρ = 7.28 g cm⁻³
Fermi-level density of states = 1.04 states/eV/atom
space-group type = P4/mmm, No. 123
E above lowest polymorph = 0 meV/atom
calculated volume = 174.69 Å³/f.u.
energy relative to the elements = -0.1177 eV per atom

***

(4)
Density functional theory data (GGA-PBE) for a relaxed structure of Dy6YAl2.

a b c (Å): 3.668 6.534 11.515
angles (deg): 75.65 80.84 73.70
Element x y z (fractional)
Dy 0.688 0.499 0.125
Dy 0.312 0.501 0.875
Dy 0.311 0.790 0.587
Dy 0.979 0.713 0.330
Dy 0.021 0.287 0.670
Dy 0.689 0.210 0.413
Y 0.000 0.000 0.000
Al 0.352 0.091 0.205
Al 0.648 0.909 0.795

Results
ρ = 7.27 g cm⁻³
Fermi-level density of states = 1.21 states/eV/atom
space-group type = C2/m, No. 12
calculated volume = 255.41 Å³/f.u.
energy relative to the elements = -0.1712 eV per atom